Entry 1:
! PBE RbBe2SiNi, optimized geometry; values from VASP
&SYSTEM
  ibrav = 0, nat = 5, ntyp = 4
/
ATOMIC_SPECIES
Ni 58.69 Ni.upf
Si 28.09 Si.upf
Rb 85.47 Rb.upf
Be 9.01 Be.upf
CELL_PARAMETERS angstrom
4.4876 0.0000 0.0000
0.0000 4.3677 0.0000
0.0000 0.0000 4.4876
ATOMIC_POSITIONS crystal
Ni 0.0000 0.0000 0.0000
Si 0.0000 0.5000 0.0000
Rb 0.5000 0.5000 0.5000
Be 0.0000 0.0000 0.5000
Be 0.5000 0.0000 0.0000
! Total moment (Bohr magnetons per cell): 0.000
! Uncorrected formation energy (eV per atom): 0.471
! Total energy (eV per cell): -17.27

=====

Entry 2:
! PBE RbBe2TlNi, optimized geometry; values from VASP
&SYSTEM
  ibrav = 0, nat = 5, ntyp = 4
/
ATOMIC_SPECIES
Ni 58.69 Ni.upf
Tl 204.38 Tl.upf
Rb 85.47 Rb.upf
Be 9.01 Be.upf
CELL_PARAMETERS angstrom
-1.3829 -3.2074 3.1523
4.8323 -0.2476 1.8679
-1.0046 3.4349 3.0543
ATOMIC_POSITIONS crystal
Ni 0.0000 0.5000 0.0000
Tl 0.0000 0.0000 0.0000
Rb 0.5000 0.5000 0.5000
Be 0.0000 0.0000 0.5000
Be 0.5000 0.0000 0.0000
! Total moment (Bohr magnetons per cell): 0.146
! Energy of formation from the pure elements (meV/atom): 973.5
! Total energy (eV per cell): -11.70

=====

Entry 3:
! PBE RbBeV2Ni, optimized geometry; values from VASP
&SYSTEM
  ibrav = 0, nat = 5, ntyp = 4
/
ATOMIC_SPECIES
Ni 58.69 Ni.upf
Be 9.01 Be.upf
Rb 85.47 Rb.upf
V 50.94 V.upf
CELL_PARAMETERS angstrom
4.6439 0.0000 0.0000
0.0000 5.8170 0.0000
0.0000 0.0000 4.6439
ATOMIC_POSITIONS crystal
Ni 0.0000 0.0000 0.0000
Be 0.5000 0.5000 0.5000
Rb 0.0000 0.5000 0.0000
V 0.0000 0.0000 0.5000
V 0.5000 0.0000 0.0000
! Total moment (Bohr magnetons per cell): 5.740
! Energy of formation from the pure elements (meV/atom): 1617.2
! Total energy (eV per cell): -20.63

=====

Entry 4:
! PBE RbBe2NiW, optimized geometry; values from VASP
&SYSTEM
  ibrav = 0, nat = 5, ntyp = 4
/
ATOMIC_SPECIES
Ni 58.69 Ni.upf
Rb 85.47 Rb.upf
W 183.84 W.upf
Be 9.01 Be.upf
CELL_PARAMETERS angstrom
-2.9791 0.3896 -3.1924
-2.5548 -2.9301 2.0265
-2.1735 3.6019 2.4679
ATOMIC_POSITIONS crystal
Ni 0.5000 0.5000 0.5000
Rb 0.0000 0.0000 0.0000
W 0.0000 0.0000 0.5000
Be 0.0000 0.5000 0.0000
Be 0.5000 0.0000 0.0000
! Total moment (Bohr magnetons per cell): 0.914
! Energy of formation from the pure elements (meV/atom): 3400.9
! Total energy (eV per cell): -10.15

=====

Entry 5:
! PBE RbZrBeNi2, optimized geometry; values from VASP
&SYSTEM
  ibrav = 0, nat = 5, ntyp = 4
/
ATOMIC_SPECIES
Ni 58.69 Ni.upf
Rb 85.47 Rb.upf
Zr 91.22 Zr.upf
Be 9.01 Be.upf
CELL_PARAMETERS angstrom
-3.0162 2.7250 -2.4367
2.1117 -2.5755 -5.4941
-3.3071 -3.3802 0.3134
ATOMIC_POSITIONS crystal
Ni 0.0000 0.0000 0.5000
Ni 0.5000 0.0000 0.0000
Rb 0.0000 0.5000 0.0000
Zr 0.0000 0.0000 0.0000
Be 0.5000 0.5000 0.5000
! Total moment (Bohr magnetons per cell): 0.000
! Energy of formation from the pure elements (meV/atom): 1659.1
! Total energy (eV per cell): -16.51

=====

Entry 6:
! PBE Be2ReNi, optimized geometry; values from VASP
&SYSTEM
  ibrav = 0, nat = 4, ntyp = 3
/
ATOMIC_SPECIES
Re 186.21 Re.upf
Be 9.01 Be.upf
Ni 58.69 Ni.upf
CELL_PARAMETERS angstrom
-4.3463 0.9416 0.5990
-4.0491 -1.5092 1.2093
-0.6122 0.9150 3.9722
ATOMIC_POSITIONS crystal
Re 0.2597 0.2597 0.1887
Be 0.0163 0.0163 0.0375
Be 0.7374 0.7374 0.7083
Ni 0.4865 0.4865 0.5655
! Total moment (Bohr magnetons per cell): 0.000
! Energy above the lowest structure with this stoichiometry (meV per atom): 109
! Energy of formation from the pure elements (meV/atom): -81.0
! Total energy (eV per cell): -26.01

=====

Entry 7:
! PBE BeReNi2, optimized geometry; values from VASP
&SYSTEM
  ibrav = 0, nat = 4, ntyp = 3
/
ATOMIC_SPECIES
Re 186.21 Re.upf
Be 9.01 Be.upf
Ni 58.69 Ni.upf
CELL_PARAMETERS angstrom
4.5739 0.0064 0.0625
3.8361 2.4909 0.0625
1.3689 0.4065 4.0008
ATOMIC_POSITIONS crystal
Re 0.4828 0.4828 0.5315
Be 0.7343 0.7343 0.7381
Ni 0.0261 0.0261 0.0000
Ni 0.2569 0.2569 0.2305
! Total moment (Bohr magnetons per cell): 0.000
! Energy of formation from the pure elements (meV/atom): -25.1
! Total energy (eV per cell): -27.84

=====

Entry 8:
! PBE BeReNi, optimized geometry; values from VASP
&SYSTEM
  ibrav = 0, nat = 3, ntyp = 3
/
ATOMIC_SPECIES
Re 186.21 Re.upf
Be 9.01 Be.upf
Ni 58.69 Ni.upf
CELL_PARAMETERS angstrom
-2.0092 -1.6145 2.9259
-0.1039 -3.8786 0.3866
1.8887 -1.7168 2.9478
ATOMIC_POSITIONS crystal
Re 0.7500 0.7500 0.7500
Be 0.0000 0.0000 0.0000
Ni 0.5000 0.5000 0.5000
! Total moment (Bohr magnetons per cell): 0.749
! Energy above the lowest structure with this stoichiometry (meV per atom): 973
! Energy of formation from the pure elements (meV/atom): 857.8
! Total energy (eV per cell): -19.38

=====

Entry 9:
! PBE BeRe4Ni, optimized geometry; values from VASP
&SYSTEM
  ibrav = 0, nat = 6, ntyp = 3
/
ATOMIC_SPECIES
Be 9.01 Be.upf
Re 186.21 Re.upf
Ni 58.69 Ni.upf
CELL_PARAMETERS angstrom
2.5494 -4.4186 -0.2123
0.5786 -2.8187 4.2177
-2.5092 -4.4206 0.4803
ATOMIC_POSITIONS crystal
Be 0.7500 0.7500 0.7500
Re 0.8760 0.3747 0.3747
Re 0.3747 0.3747 0.8760
Re 0.3747 0.8760 0.3747
Re 0.3747 0.3747 0.3747
Ni 0.0000 0.0000 0.0000
! Total moment (Bohr magnetons per cell): 0.001
! Energy of formation from the pure elements (meV/atom): 778.0
! Total energy (eV per cell): -54.63

=====

Entry 10:
! PBE BeReNi, optimized geometry; values from VASP
&SYSTEM
  ibrav = 0, nat = 3, ntyp = 3
/
ATOMIC_SPECIES
Re 186.21 Re.upf
Be 9.01 Be.upf
Ni 58.69 Ni.upf
CELL_PARAMETERS angstrom
-1.3073 -2.7374 -2.5287
-0.4252 -0.5405 3.8889
-2.2549 1.1562 -0.0858
ATOMIC_POSITIONS crystal
Re 0.3333 0.6667 0.6668
Be 0.0000 0.0000 0.1657
Ni 0.6667 0.3333 0.1675
! Total moment (Bohr magnetons per cell): 0.000
! Energy above the lowest structure with this stoichiometry (meV per atom): 121
! Energy of formation from the pure elements (meV/atom): 5.4
! Total energy (eV per cell): -21.94

=====

Entry 11:
! PBE BeReNi2, optimized geometry; values from VASP
&SYSTEM
  ibrav = 0, nat = 8, ntyp = 3
/
ATOMIC_SPECIES
Re 186.21 Re.upf
Be 9.01 Be.upf
Ni 58.69 Ni.upf
CELL_PARAMETERS angstrom
-2.1776 2.2672 -1.2118
-1.9013 -0.3515 2.7590
2.2403 7.0607 4.5004
ATOMIC_POSITIONS crystal
Re 0.0000 0.0000 0.0000
Re 0.7500 0.2500 0.5000
Be 0.5000 0.5000 0.0000
Be 0.2500 0.7500 0.5000
Ni 0.6096 0.1250 0.2500
Ni 0.1404 0.6250 0.2500
Ni 0.3750 0.3904 0.7500
Ni 0.8750 0.8596 0.7500
! Total moment (Bohr magnetons per cell): 0.000
! Energy of formation from the pure elements (meV/atom): 331.1
! Total energy (eV per cell): -52.82

=====

Entry 12:
! PBE Be2Re2Ni, optimized geometry; values from VASP
&SYSTEM
  ibrav = 0, nat = 5, ntyp = 3
/
ATOMIC_SPECIES
Re 186.21 Re.upf
Be 9.01 Be.upf
Ni 58.69 Ni.upf
CELL_PARAMETERS angstrom
-3.0866 -1.6932 0.3572
0.4886 -0.1520 3.5014
-3.7865 3.7277 2.4783
ATOMIC_POSITIONS crystal
Re 0.7500 0.2500 0.5000
Re 0.2500 0.7500 0.5000
Be 0.4056 0.4056 0.1888
Be 0.5944 0.5944 0.8112
Ni 0.0000 0.0000 0.0000
! Total moment (Bohr magnetons per cell): 0.000
! Energy above the lowest structure with this stoichiometry (meV per atom): 779
! Energy of formation from the pure elements (meV/atom): 616.5
! Total energy (eV per cell): -35.05

=====

Question: Among the records above, which one has the highest total energy?
Answer: RbBe2NiW

=====

Question: Look up the total moment of the seventh one.
Answer: 0.000 Bohr magnetons per cell

=====

Question: total moment of number 11 (BeReNi2)?
Answer: 0.000 Bohr magnetons per cell